Na5B8C2: relaxed, PBE.

Unit cell a=7.760 b=7.764 c=9.113 alpha=107.64 beta=107.65 gamma=38.30
Fractional positions:
Na 0.801 0.799 0.998
Na 0.900 0.900 0.502
Na 0.598 0.602 0.999
Na 0.698 0.703 0.501
Na 0.401 0.399 0.998
Na 0.502 0.499 0.502
Na 0.196 0.202 0.996
Na 0.297 0.303 0.501
Na 0.999 0.999 0.998
Na 0.101 0.101 0.505
B 0.566 0.931 0.250
B 0.699 0.011 0.751
B 0.540 0.178 0.250
B 0.393 0.709 0.250
B 0.414 0.089 0.751
B 0.504 0.796 0.750
B 0.305 0.986 0.250
B 0.190 0.506 0.250
B 0.211 0.886 0.749
B 0.289 0.601 0.750
B 0.110 0.790 0.250
B 0.970 0.333 0.250
B 0.072 0.430 0.750
B 0.913 0.595 0.250
B 0.870 0.228 0.750
B 0.723 0.360 0.250
C 0.615 0.285 0.750
C 0.015 0.685 0.751
C 0.795 0.105 0.250
C 0.812 0.488 0.749

D(E_F): 0.26 states/eV/atom
Calculated volume: 10.7 A^3/atom
VASP energy: -5.02 eV per atom
Energy above the most stable polymorph in this dataset: 39 meV/atom
ρ: 2323 kg/m³